Entry 1:
## LiCe2Ru (PBE)

Data for LiCe2Ru after structural relaxation.

Cell lengths 3.8612, 3.8612, 29.8019 Å; angles 90.00, 90.00, 120.00 degrees
Space group R-3m (No. 166, hexagonal axes)
One atom of each set of equivalent atoms:
Li  0.0000  0.0000  0.0000
Ce  0.0000  0.0000  0.1138
Ru  0.0000  0.0000  0.5000

Values from the calculation:
**E above lowest polymorph**: 181 meV per atom
**DFT formation energy**: 0.09 eV per atom



Entry 2:
## Sc2ZnCr2 (PBE)

Data for Sc2ZnCr2 after structural relaxation.

Cell lengths 6.572, 6.572, 3.971 Å; angles 90.00, 90.00, 90.00 degrees
Space group P4/mbm (No. 127)
One atom of each set of equivalent atoms:
Sc  0.183  0.317  0.000
Zn  0.000  0.000  0.500
Cr  0.107  0.607  0.500

Values from the calculation:
**E above lowest polymorph**: 0 meV per atom
**DFT formation energy**: 0.14 eV per atom



Entry 3:
## BaY2W (PBE)

Data for BaY2W after structural relaxation.

Cell lengths 7.626, 7.626, 7.626 Å; angles 90.00, 90.00, 90.00 degrees
Space group Fm-3m (No. 225)
One atom of each set of equivalent atoms:
Ba  0.000  0.000  0.000
Y  0.250  0.250  0.250
W  0.000  0.000  0.500

Values from the calculation:
**E above lowest polymorph**: 349 meV per atom
**DFT formation energy**: 0.82 eV per atom



Entry 4:
## La8Ga3TeBr4 (PBE)

Data for La8Ga3TeBr4 after structural relaxation.

Cell lengths 9.0731, 9.0731, 21.1055 Å; angles 90.00, 90.00, 120.00 degrees
Space group R-3m (No. 166, hexagonal axes)
One atom of each set of equivalent atoms:
La  0.0000  0.0000  0.2424
La  0.0167  0.5084  0.7548
Ga  0.0000  0.5000  0.5000
Te  0.0000  0.0000  0.5000
Br  0.0000  0.0000  0.0000
Br  0.0000  0.5000  0.0000

Values from the calculation:
**Raw formation energy**: -1.100 eV/atom



Entry 5:
## VBi2Se2 (PBE)

Data for VBi2Se2 after structural relaxation.

Cell lengths 4.161, 4.161, 17.216 Å; angles 90.00, 90.00, 90.00 degrees
Space group I4/mmm (No. 139)
One atom of each set of equivalent atoms:
V  0.000  0.000  0.000
Bi  0.000  0.500  0.250
Se  0.000  0.000  0.428

Values from the calculation:
**Raw formation energy**: 0.518 eV/atom
**E above lowest polymorph**: 611 meV per atom



Entry 6:
## ZnFe2Sb (PBE)

Data for ZnFe2Sb after structural relaxation.

Cell lengths 3.0448, 3.0448, 24.9565 Å; angles 90.00, 90.00, 120.00 degrees
Space group R3m (No. 160, hexagonal axes)
One atom of each set of equivalent atoms:
Zn  0.0000  0.0000  0.0000
Fe  0.0000  0.0000  0.4766
Fe  0.0000  0.0000  0.7438
Sb  0.0000  0.0000  0.2250

Values from the calculation:
**Raw formation energy**: 0.349 eV/atom
**E above lowest polymorph**: 190 meV per atom



Entry 7:
## CaNd3Dy3 (PBE)

Data for CaNd3Dy3 after structural relaxation.

Cell lengths 8.765, 8.765, 9.090 Å; angles 118.81, 90.01, 119.97 degrees
Space group P-1 (No. 2)
One atom of each set of equivalent atoms:
Ca  0.155  0.311  0.465
Nd  0.067  0.296  0.865
Nd  0.229  0.797  0.865
Nd  0.432  0.363  0.134
Dy  0.220  0.652  0.324
Dy  0.327  0.107  0.674
Dy  0.433  0.105  0.324

Values from the calculation:
**DFT formation energy**: 0.21 eV per atom



Entry 8:
## Ta2CdPb (PBE)

Data for Ta2CdPb after structural relaxation.

Cell lengths 2.990, 4.576, 5.949 Å; angles 90.00, 90.00, 90.00 degrees
Space group Pmmm (No. 47)
One atom of each set of equivalent atoms:
Ta  0.000  0.000  0.241
Cd  0.500  0.500  0.000
Pb  0.500  0.500  0.500

Values from the calculation:
**DFT formation energy**: 0.54 eV per atom



Entry 9:
## TbPmZnCu (PBE)

Data for TbPmZnCu after structural relaxation.

Cell lengths 7.152, 7.152, 7.152 Å; angles 90.00, 90.00, 90.00 degrees
Space group F-43m (No. 216)
One atom of each set of equivalent atoms:
Tb  0.000  0.000  0.000
Pm  0.000  0.000  0.500
Zn  0.250  0.250  0.250
Cu  0.250  0.250  0.750

Values from the calculation:
**E above lowest polymorph**: 8 meV per atom
**DFT formation energy**: -0.25 eV per atom



Entry 10:
## NaTlAg2H (PBE)

Data for NaTlAg2H after structural relaxation.

Cell lengths 5.496, 5.496, 3.704 Å; angles 90.00, 90.00, 90.00 degrees
Space group P4/mmm (No. 123)
One atom of each set of equivalent atoms:
Na  0.000  0.000  0.000
Tl  0.500  0.500  0.500
Ag  0.000  0.500  0.000
H  0.000  0.000  0.500

Values from the calculation:
**E above lowest polymorph**: 402 meV per atom



Entry 11:
## KThTe4Au (PBE)

Data for KThTe4Au after structural relaxation.

Cell lengths 6.386, 16.125, 9.637 Å; angles 90.00, 90.00, 90.00 degrees
Space group Cmcm (No. 63)
One atom of each set of equivalent atoms:
K  0.000  0.102  0.250
Th  0.000  0.357  0.250
Te  0.000  0.106  0.750
Te  0.000  0.458  0.750
Te  0.250  0.250  0.000
Au  0.000  0.280  0.750

Values from the calculation:
**Raw formation energy**: -0.536 eV/atom



Entry 12:
## Pu4Se3O2 (PBE)

Data for Pu4Se3O2 after structural relaxation.

Cell lengths 12.740, 9.914, 6.328 Å; angles 90.00, 90.34, 90.00 degrees
Space group C2/c (No. 15)
One atom of each set of equivalent atoms:
Pu  0.119  0.174  0.472
Pu  0.161  0.422  0.929
Se  0.000  0.400  0.250
Se  0.116  0.129  0.964
O  0.205  0.373  0.588

Values from the calculation:
**Raw formation energy**: -1.999 eV/atom
**E above lowest polymorph**: 0 meV per atom